Cs2NaSeBr: relaxed, PBE.

a b c (Å): 6.981 6.981 5.366
angles (deg): 90.00 90.00 90.00
Positions (direct):
Cs (0.000, 0.500, 0.000)
Cs (0.500, 0.000, 0.000)
Na (0.000, 0.000, 0.500)
Se (0.000, 0.000, 0.000)
Br (0.500, 0.500, 0.500)

Summary:
- DFT total energy: -2.832 eV/atom
- Energy relative to the elements, uncorrected: -1.1952 eV per atom
- M_tot: 0.00 Bohr magnetons per cell
- Crystal system: tetragonal